# Mg2TlIn PBE-GGA optimized geometry
# VASP energy   -2.1245 eV/atom
# Crystal system   monoclinic
# V   24.2 Å³/atom
# ΔH_f (0 K)   -0.051 eV per atom
data_Mg2TlIn
_chemical_formula_sum 'Mg2 Tl1 In1'
_cell_length_a 3.313
_cell_length_b 4.306
_cell_length_c 6.799
_cell_angle_alpha 90.00
_cell_angle_beta 90.45
_cell_angle_gamma 90.00
_symmetry_space_group_name_H-M 'P 1 2/m 1'
_symmetry_Int_Tables_number 10
_symmetry_space_group_name_Hall '-P 2y'
loop_
_atom_site_label
_atom_site_type_symbol
_atom_site_fract_x
_atom_site_fract_y
_atom_site_fract_z
_atom_site_occupancy
Mg1 Mg 0.002 0.000 0.255 1
Tl1 Tl 0.500 0.500 0.000 1
In1 In 0.500 0.500 0.500 1

***

# AcHoO4 PBE-GGA optimized geometry
# VASP energy   -7.6159 eV/atom
# Uncorrected formation energy   -2.863 eV per atom
# Crystal system   monoclinic
# V   15.1 Å³/atom
data_AcHoO4
_chemical_formula_sum 'Ac2 Ho2 O8'
_cell_length_a 6.837
_cell_length_b 4.059
_cell_length_c 6.574
_cell_angle_alpha 90.00
_cell_angle_beta 97.59
_cell_angle_gamma 90.00
_symmetry_space_group_name_H-M 'C 1 m 1'
_symmetry_Int_Tables_number 8
_symmetry_space_group_name_Hall 'C -2y'
loop_
_atom_site_label
_atom_site_type_symbol
_atom_site_fract_x
_atom_site_fract_y
_atom_site_fract_z
_atom_site_occupancy
Ac1 Ac 0.000 0.000 0.000 1
Ho1 Ho 0.108 0.500 0.537 1
O1 O 0.146 0.500 0.882 1
O2 O 0.215 0.000 0.358 1
O3 O 0.377 0.000 0.220 1
O4 O 0.448 0.500 0.605 1

***

# Ga3SnSe PBE-GGA optimized geometry
# VASP energy   -2.9410 eV/atom
# Uncorrected formation energy   0.373 eV per atom
# Crystal system   cubic
# V   26.8 Å³/atom
# Energy above the lowest structure with this stoichiometry   0 meV/atom
data_Ga3SnSe
_chemical_formula_sum 'Ga3 Sn1 Se1'
_cell_length_a 5.117
_cell_length_b 5.117
_cell_length_c 5.117
_cell_angle_alpha 90.00
_cell_angle_beta 90.00
_cell_angle_gamma 90.00
_symmetry_space_group_name_H-M 'P m -3 m'
_symmetry_Int_Tables_number 221
_symmetry_space_group_name_Hall '-P 4 2 3'
loop_
_atom_site_label
_atom_site_type_symbol
_atom_site_fract_x
_atom_site_fract_y
_atom_site_fract_z
_atom_site_occupancy
Ga1 Ga 0.000 0.000 0.500 1
Sn1 Sn 0.500 0.500 0.500 1
Se1 Se 0.000 0.000 0.000 1

***

# YBeNb2F PBE-GGA optimized geometry
# VASP energy   -5.3460 eV/atom
# Uncorrected formation energy   1.094 eV per atom
# Crystal system   tetragonal
# V   23.5 Å³/atom
data_YBeNb2F
_chemical_formula_sum 'Y1 Be1 Nb2 F1'
_cell_length_a 5.352
_cell_length_b 5.352
_cell_length_c 4.104
_cell_angle_alpha 90.00
_cell_angle_beta 90.00
_cell_angle_gamma 90.00
_symmetry_space_group_name_H-M 'P 4/m m m'
_symmetry_Int_Tables_number 123
_symmetry_space_group_name_Hall '-P 4 2'
loop_
_atom_site_label
_atom_site_type_symbol
_atom_site_fract_x
_atom_site_fract_y
_atom_site_fract_z
_atom_site_occupancy
Y1 Y 0.000 0.000 0.000 1
Be1 Be 0.500 0.500 0.500 1
Nb1 Nb 0.000 0.500 0.000 1
F1 F 0.000 0.000 0.500 1